# MgCrF6, single point on PBEsol structure, DFT meta-GGA SCAN
data_MgCrF6
_space_group_name_H-M_alt 'P 1'
_space_group_IT_number 1
_cell_length_a 5.2899
_cell_length_b 5.2899
_cell_length_c 5.2899
_cell_angle_alpha 57.52
_cell_angle_beta 57.52
_cell_angle_gamma 57.52
loop_
_space_group_symop_operation_xyz
'x,y,z'
loop_
_atom_site_label
_atom_site_fract_x
_atom_site_fract_y
_atom_site_fract_z
Mg1 0.0000 0.0000 0.0000
Cr1 0.5000 0.5000 0.5000
F1 0.1618 0.3612 0.7375
F2 0.2625 0.8382 0.6388
F3 0.3612 0.7375 0.1618
F4 0.6388 0.2625 0.8382
F5 0.7375 0.1618 0.3612
F6 0.8382 0.6388 0.2625
# * SG: R-3, No. 148
# * total moment: 0.250 μB per atom
# * E_form (uncorrected): -3.13 eV per atom

=====

# LaAlIr2Se, single point on PBEsol structure, DFT meta-GGA SCAN
data_LaAlIr2Se
_space_group_name_H-M_alt 'P 1'
_space_group_IT_number 1
_cell_length_a 4.6167
_cell_length_b 4.6167
_cell_length_c 5.4161
_cell_angle_alpha 90.00
_cell_angle_beta 90.00
_cell_angle_gamma 90.00
loop_
_space_group_symop_operation_xyz
'x,y,z'
loop_
_atom_site_label
_atom_site_fract_x
_atom_site_fract_y
_atom_site_fract_z
La1 0.0000 0.0000 0.0000
Al1 0.5000 0.5000 0.0000
Ir1 0.0000 0.5000 0.5000
Ir2 0.5000 0.0000 0.5000
Se1 0.0000 0.0000 0.5000
# * SG: P4/mmm, No. 123
# * total moment: 0.183 μB per atom
# * E_form (uncorrected): 0.55 eV per atom
# * DOS(E_F): 4.45 states/eV/cell

=====

# TcRu, single point on PBEsol structure, DFT meta-GGA SCAN
data_TcRu
_space_group_name_H-M_alt 'P 1'
_space_group_IT_number 1
_cell_length_a 2.7042
_cell_length_b 2.7042
_cell_length_c 8.5921
_cell_angle_alpha 90.00
_cell_angle_beta 90.00
_cell_angle_gamma 120.00
loop_
_space_group_symop_operation_xyz
'x,y,z'
loop_
_atom_site_label
_atom_site_fract_x
_atom_site_fract_y
_atom_site_fract_z
Tc1 0.3333 0.6667 0.1284
Tc2 0.6667 0.3333 0.8716
Ru1 0.3333 0.6667 0.6246
Ru2 0.6667 0.3333 0.3754
# * SG: P-3m1, No. 164
# * total moment: 0.000 μB per atom
# * DOS(E_F): 3.24 states/eV/cell
# * formation enthalpy at 0 K: -43 meV per atom
# * energy relative to the lowest polymorph listed for this composition: 41 meV per atom

=====

# Al17Mo4, single point on PBEsol structure, DFT meta-GGA SCAN
data_Al17Mo4
_space_group_name_H-M_alt 'P 1'
_space_group_IT_number 1
_cell_length_a 5.1795
_cell_length_b 5.1795
_cell_length_c 28.7131
_cell_angle_alpha 95.87
_cell_angle_beta 95.87
_cell_angle_gamma 56.48
loop_
_space_group_symop_operation_xyz
'x,y,z'
loop_
_atom_site_label
_atom_site_fract_x
_atom_site_fract_y
_atom_site_fract_z
Al1 0.0221 0.3452 0.8699
Al2 0.0376 0.7125 0.9463
Al3 0.0704 0.3820 0.7729
Al4 0.1119 0.7678 0.8441
Al5 0.1897 0.8103 0.7500
Al6 0.2130 0.5214 0.5859
Al7 0.2172 0.5892 0.3943
Al8 0.2322 0.8881 0.6559
Al9 0.2345 0.5116 0.4930
Al10 0.2875 0.9624 0.5537
Al11 0.2951 0.6416 0.2995
Al12 0.3452 0.0221 0.3699
Al13 0.3584 0.7049 0.2005
Al14 0.3820 0.0704 0.2729
Al15 0.4108 0.7828 0.1057
Al16 0.4786 0.7870 0.9141
Al17 0.4884 0.7655 0.0070
Al18 0.5116 0.2345 0.9930
Al19 0.5214 0.2130 0.0859
Al20 0.5892 0.2172 0.8943
Al21 0.6180 0.9296 0.7271
Al22 0.6416 0.2951 0.7995
Al23 0.6548 0.9779 0.6301
Al24 0.7049 0.3584 0.7005
Al25 0.7125 0.0376 0.4463
Al26 0.7655 0.4884 0.5070
Al27 0.7678 0.1119 0.3441
Al28 0.7828 0.4108 0.6057
Al29 0.7870 0.4786 0.4141
Al30 0.8103 0.1897 0.2500
Al31 0.8881 0.2322 0.1559
Al32 0.9296 0.6180 0.2271
Al33 0.9624 0.2875 0.0537
Al34 0.9779 0.6548 0.1301
Mo1 0.0284 0.7461 0.0404
Mo2 0.1409 0.4503 0.6795
Mo3 0.2539 0.9716 0.4596
Mo4 0.4503 0.1409 0.1795
Mo5 0.5497 0.8591 0.8205
Mo6 0.7461 0.0284 0.5404
Mo7 0.8591 0.5497 0.3205
Mo8 0.9716 0.2539 0.9596
# * SG: C2/c, No. 15
# * total moment: 0.000 μB per atom
# * DOS(E_F): 11.21 states/eV/cell
# * formation enthalpy at 0 K: -289 meV per atom

=====

# Ta2CrRe, single point on PBEsol structure, DFT meta-GGA SCAN
data_Ta2CrRe
_space_group_name_H-M_alt 'P 1'
_space_group_IT_number 1
_cell_length_a 4.4185
_cell_length_b 4.4185
_cell_length_c 4.4185
_cell_angle_alpha 60.00
_cell_angle_beta 60.00
_cell_angle_gamma 60.00
loop_
_space_group_symop_operation_xyz
'x,y,z'
loop_
_atom_site_label
_atom_site_fract_x
_atom_site_fract_y
_atom_site_fract_z
Ta1 0.2500 0.2500 0.2500
Ta2 0.7500 0.7500 0.7500
Cr1 0.0000 0.0000 0.0000
Re1 0.5000 0.5000 0.5000
# * SG: Fm-3m, No. 225
# * total moment: 0.055 μB per atom
# * DOS(E_F): 2.28 states/eV/cell
# * formation enthalpy at 0 K: -328 meV per atom

=====

# Zn5Cu, single point on PBEsol structure, DFT meta-GGA SCAN
data_Zn5Cu
_space_group_name_H-M_alt 'P 1'
_space_group_IT_number 1
_cell_length_a 4.9923
_cell_length_b 4.9923
_cell_length_c 6.2658
_cell_angle_alpha 102.91
_cell_angle_beta 102.91
_cell_angle_gamma 31.67
loop_
_space_group_symop_operation_xyz
'x,y,z'
loop_
_atom_site_label
_atom_site_fract_x
_atom_site_fract_y
_atom_site_fract_z
Zn1 0.0000 0.0000 0.0000
Zn2 0.0528 0.0528 0.6169
Zn3 0.3902 0.3902 0.2847
Zn4 0.6716 0.6716 0.3464
Zn5 0.7255 0.7255 0.9411
Cu1 0.3327 0.3327 0.6683
# * SG: Cm, No. 8
# * total moment: 0.000 μB per atom
# * DOS(E_F): 1.04 states/eV/cell
# * formation enthalpy at 0 K: -56 meV per atom